[1]
Entry from Alexandria: a relaxed structure of TlAg3F3 (PBE-GGA).

abc: 6.6618 6.6618 6.6618
angles: 90.00 90.00 90.00
Closest atoms and distances in Å follow each position.
Element x y z (fractional)
Tl: 0.5000 0.5000 0.5000  12 F 3.72, 12 Ag 3.72
Tl: 0.0000 0.0000 0.0000  12 F 3.72, 12 Ag 3.72
Ag: 0.0000 0.2500 0.5000  4 F 2.36
Ag: 0.0000 0.7500 0.5000  4 F 2.36
Ag: 0.5000 0.0000 0.7500  4 F 2.36
Ag: 0.7500 0.5000 0.0000  4 F 2.36
Ag: 0.5000 0.0000 0.2500  4 F 2.36
Ag: 0.2500 0.5000 0.0000  4 F 2.36
F: 0.2500 0.0000 0.5000  4 Ag 2.36
F: 0.0000 0.5000 0.2500  4 Ag 2.36
F: 0.5000 0.7500 0.0000  4 Ag 2.36
F: 0.7500 0.0000 0.5000  4 Ag 2.36
F: 0.0000 0.5000 0.7500  4 Ag 2.36
F: 0.5000 0.2500 0.0000  4 Ag 2.36

Properties
E ... -3.1358 eV per atom
Calculated volume ... 295.64 Å³/cell
Raw formation energy ... -0.77 eV per atom



[2]
Entry from Alexandria: a relaxed structure of TlAgF3 (PBE-GGA).

abc: 19.7206 5.0354 8.0463
angles: 90.00 158.04 90.00
Closest atoms and distances in Å follow each position.
Element x y z (fractional)
Tl: 0.1010 0.2035 0.5975  5 F 2.30-2.53
Tl: 0.8990 0.7965 0.4025  5 F 2.30-2.53
Tl: 0.3990 0.7035 0.9025  5 F 2.30-2.53
Tl: 0.6010 0.2965 0.0975  5 F 2.30-2.53
Ag: 0.4330 0.7013 0.5105  6 F 2.39-2.63
Ag: 0.5670 0.2987 0.4895  6 F 2.39-2.63
Ag: 0.0670 0.2013 0.9895  6 F 2.39-2.63
Ag: 0.9330 0.7987 0.0105  6 F 2.39-2.63
F: 0.2821 0.0857 0.7522  2 Tl 2.30-2.53, 1 Ag 2.47
F: 0.7179 0.9143 0.2478  2 Tl 2.30-2.53, 1 Ag 2.47
F: 0.2179 0.5857 0.7478  2 Tl 2.30-2.53, 1 Ag 2.47
F: 0.7821 0.4143 0.2522  2 Tl 2.30-2.53, 1 Ag 2.47
F: 0.4017 0.1940 0.3645  1 Tl 2.32, 2 Ag 2.41-2.56
F: 0.5983 0.8060 0.6355  1 Tl 2.32, 2 Ag 2.41-2.56
F: 0.0983 0.6940 0.1355  1 Tl 2.32, 2 Ag 2.41-2.56
F: 0.9017 0.3060 0.8645  1 Tl 2.32, 2 Ag 2.41-2.56
F: 0.3510 0.0049 0.5630  2 Tl 2.37-2.42, 2 Ag 2.39-2.53
F: 0.6490 0.9951 0.4370  2 Tl 2.37-2.42, 2 Ag 2.39-2.53
F: 0.1490 0.5049 0.9370  2 Tl 2.37-2.42, 2 Ag 2.39-2.53
F: 0.8510 0.4951 0.0630  2 Tl 2.37-2.42, 2 Ag 2.39-2.53

Properties
E ... -3.5615 eV per atom
Calculated volume ... 298.81 Å³/cell
Offset from the most stable computed form ... 109 meV per atom
Raw formation energy ... -1.40 eV per atom



[3]
Entry from Alexandria: a relaxed structure of TlAgF3 (PBE-GGA).

abc: 6.6749 6.6749 5.1825
angles: 90.00 90.00 132.98
Closest atoms and distances in Å follow each position.
Element x y z (fractional)
Tl: 0.1581 0.8419 0.2500  4 F 2.24-2.33
Tl: 0.8419 0.1581 0.7500  4 F 2.24-2.33
Ag: 0.4542 0.5458 0.2500  2 F 2.30
Ag: 0.5458 0.4542 0.7500  2 F 2.30
F: 0.0455 0.4395 0.2500  1 Tl 2.24, 1 Ag 2.30
F: 0.5605 0.9545 0.2500  1 Tl 2.24, 1 Ag 2.30
F: 0.4395 0.0455 0.7500  1 Tl 2.24, 1 Ag 2.30
F: 0.9545 0.5605 0.7500  1 Tl 2.24, 1 Ag 2.30
F: 0.0000 0.0000 0.0000  2 Tl 2.33, 2 F 2.59
F: 0.0000 0.0000 0.5000  2 Tl 2.33, 2 F 2.59

Properties
E ... -3.3934 eV per atom
Calculated volume ... 168.92 Å³/cell
Offset from the most stable computed form ... 277 meV per atom
Raw formation energy ... -1.23 eV per atom



[4]
Entry from Alexandria: a relaxed structure of TlAgF3 (PBE-GGA).

abc: 4.0854 4.0854 13.1928
angles: 90.00 90.00 120.00
Closest atoms and distances in Å follow each position.
Element x y z (fractional)
Tl: 0.3333 0.6667 0.7500  5 F 2.29-2.36
Tl: 0.6667 0.3333 0.2500  5 F 2.29-2.36
Ag: 0.0000 0.0000 0.0000  6 F 2.56
Ag: 0.0000 0.0000 0.5000  6 F 2.56
F: 0.0000 0.0000 0.2500  3 Tl 2.36
F: 0.0000 0.0000 0.7500  3 Tl 2.36
F: 0.3333 0.6667 0.9237  1 Tl 2.29, 3 Ag 2.56
F: 0.3333 0.6667 0.5763  1 Tl 2.29, 3 Ag 2.56
F: 0.6667 0.3333 0.4237  1 Tl 2.29, 3 Ag 2.56
F: 0.6667 0.3333 0.0763  1 Tl 2.29, 3 Ag 2.56

Properties
E ... -3.5430 eV per atom
Calculated volume ... 190.69 Å³/cell
Offset from the most stable computed form ... 127 meV per atom
Raw formation energy ... -1.38 eV per atom